<A>
Here is a relaxed structure of B2IrAu from Alexandria. Energies are from PBE.

Summary:
space group	Pm (6)

Geometry as POSCAR:
```
B2IrAu
1.0
-1.490 2.076 1.394
-2.220 -1.885 0.434
3.124 -2.680 4.336
B Ir Au
2 1 1
Direct
0.483 0.000 0.503
0.409 0.500 0.353
0.839 0.000 0.210
0.626 0.500 0.791
```

***

<B>
Here is a relaxed structure of B2IrAu from Alexandria. Energies are from PBE.

Summary:
space group	Amm2 (38)

Geometry as POSCAR:
```
B2IrAu
1.0
2.792 0.000 0.000
0.000 2.960 0.000
0.000 0.000 12.096
B Ir Au
4 2 2
Direct
0.500 0.000 0.215
0.500 0.500 0.715
0.500 0.000 0.924
0.500 0.500 0.424
0.000 0.000 0.353
0.000 0.500 0.853
0.500 0.000 0.580
0.500 0.500 0.080
```

***

<C>
Here is a relaxed structure of B2IrAu from Alexandria. Energies are from PBE.

Summary:
space group	I-42d (122)

Geometry as POSCAR:
```
B2IrAu
1.0
-3.991 -0.247 2.795
-2.464 -2.018 -3.696
-1.893 -5.538 1.065
B Ir Au
4 2 2
Direct
0.593 0.125 0.250
0.157 0.625 0.250
0.375 0.407 0.750
0.875 0.843 0.750
0.500 0.500 0.000
0.250 0.750 0.500
0.000 0.000 0.000
0.750 0.250 0.500
```

***

Which of them is the least stable? Correct choice: <C>.

***

<A>
Here is a relaxed structure of B2IrAu from Alexandria. Energies are from PBE.

Summary:
space group	Pmm2 (25)

Geometry as POSCAR:
```
B2IrAu
1.0
2.917 0.000 0.000
0.000 3.085 0.000
0.000 0.000 5.442
B Ir Au
2 1 1
Direct
0.000 0.500 0.500
0.500 0.500 0.338
0.000 0.000 0.208
0.500 0.500 0.811
```

***

<B>
Here is a relaxed structure of B2IrAu from Alexandria. Energies are from PBE.

Summary:
space group	Fm-3m (225)

Geometry as POSCAR:
```
B2IrAu
1.0
-1.092 -3.357 -1.906
-3.869 -0.673 -0.820
-1.309 0.179 -3.789
B Ir Au
2 1 1
Direct
0.250 0.250 0.250
0.750 0.750 0.750
0.000 0.000 0.000
0.500 0.500 0.500
```

***

<C>
Here is a relaxed structure of B2IrAu from Alexandria. Energies are from PBE.

Summary:
space group	Cm (8)

Geometry as POSCAR:
```
B2IrAu
1.0
5.767 0.000 -0.026
0.000 3.162 0.000
-0.734 0.000 5.334
B Ir Au
4 2 2
Direct
0.577 0.000 0.433
0.577 0.500 0.933
0.570 0.000 0.760
0.570 0.500 0.260
0.799 0.000 0.132
0.799 0.500 0.632
0.197 0.000 0.510
0.197 0.500 0.010
```

***

Which of them is the least stable? Correct choice: <B>.

***

<A>
Here is a relaxed structure of BIr2Au from Alexandria. Energies are from PBE.

Summary:
space group	Fm-3m (225)

Geometry as POSCAR:
```
BIr2Au
1.0
-0.957 -2.421 3.404
-3.973 -1.527 0.494
-0.763 -4.188 -0.496
B Ir Au
1 2 1
Direct
0.000 0.000 0.000
0.250 0.250 0.250
0.750 0.750 0.750
0.500 0.500 0.500
```

***

<B>
Here is a relaxed structure of BIr2Au from Alexandria. Energies are from PBE.

Summary:
space group	I-42d (122)

Geometry as POSCAR:
```
BIr2Au
1.0
4.826 0.000 0.000
0.000 4.826 0.000
2.413 2.413 6.053
B Ir Au
2 4 2
Direct
0.500 0.500 0.000
0.250 0.750 0.500
0.503 0.125 0.250
0.247 0.625 0.250
0.375 0.497 0.750
0.875 0.753 0.750
0.000 0.000 0.000
0.750 0.250 0.500
```

***

Which of them is the least stable? Correct choice: <A>.

***

<A>
Here is a relaxed structure of B3IrAu from Alexandria. Energies are from PBE.

Summary:
space group	Pm-3m (221)

Geometry as POSCAR:
```
B3IrAu
1.0
-1.026 -2.782 -2.876
1.576 -3.010 2.350
-3.678 -0.513 1.809
B Ir Au
3 1 1
Direct
0.000 0.500 0.000
0.000 0.000 0.500
0.500 0.000 0.000
0.000 0.000 0.000
0.500 0.500 0.500
```

***

<B>
Here is a relaxed structure of B3IrAu from Alexandria. Energies are from PBE.

Summary:
space group	Pm-3m (221)

Geometry as POSCAR:
```
B3IrAu
1.0
4.100 0.000 0.000
0.000 4.100 0.000
0.000 0.000 4.100
B Ir Au
3 1 1
Direct
0.000 0.500 0.000
0.000 0.000 0.500
0.500 0.000 0.000
0.500 0.500 0.500
0.000 0.000 0.000
```

***

Which of them is the least stable? Correct choice: <B>.